## Te2Rh (PBE)

Data for crystalline Te2Rh at its relaxed geometry.

* symmetry: P-3m1
* E_tot: -4.94 eV per atom
* D(E_F): 1.4 states/eV per cell

Structure (CIF):
```
data_Te2Rh
_chemical_formula_sum 'Te2 Rh1'
_cell_length_a 3.957
_cell_length_b 3.957
_cell_length_c 5.456
_cell_angle_alpha 89.94
_cell_angle_beta 89.94
_cell_angle_gamma 60.01
_symmetry_space_group_name_H-M 'P 1'
_symmetry_Int_Tables_number 1
loop_
_symmetry_equiv_pos_as_xyz
'x,y,z'
loop_
_atom_site_label
_atom_site_type_symbol
_atom_site_fract_x
_atom_site_fract_y
_atom_site_fract_z
Rh1 Rh 0.000 0.000 0.000
Te1 Te 0.333 0.333 0.253
Te2 Te 0.667 0.667 0.747
```



## K2ErSnTe4 (PBE)

Data for crystalline K2ErSnTe4 at its relaxed geometry.

* symmetry: P2/m
* E_tot: -3.87 eV per atom
* D(E_F): 4.0 states/eV per cell

Structure (CIF):
```
data_K2ErSnTe4
_chemical_formula_sum 'K2 Er1 Sn1 Te4'
_cell_length_a 4.437
_cell_length_b 7.854
_cell_length_c 8.650
_cell_angle_alpha 106.99
_cell_angle_beta 90.00
_cell_angle_gamma 90.00
_symmetry_space_group_name_H-M 'P 1'
_symmetry_Int_Tables_number 1
loop_
_symmetry_equiv_pos_as_xyz
'x,y,z'
loop_
_atom_site_label
_atom_site_type_symbol
_atom_site_fract_x
_atom_site_fract_y
_atom_site_fract_z
Te1 Te 0.500 0.761 0.795
Sn1 Sn 0.000 0.000 0.000
Te2 Te 0.500 0.239 0.205
K1 K 0.500 0.000 0.500
K2 K 0.000 0.500 0.500
Te3 Te 0.000 0.267 0.795
Te4 Te 0.000 0.733 0.205
Er1 Er 0.500 0.500 0.000
```



## NaYSeBr2 (PBE)

Data for crystalline NaYSeBr2 at its relaxed geometry.

* symmetry: P4/mmm
* energy above the lowest structure with this stoichiometry: 0.000 eV per atom
* E_tot: -4.40 eV per atom
* D(E_F): 0.0 states/eV per cell

Structure (CIF):
```
data_NaYSeBr2
_chemical_formula_sum 'Na1 Y1 Se1 Br2'
_cell_length_a 5.642
_cell_length_b 5.482
_cell_length_c 5.642
_cell_angle_alpha 90.00
_cell_angle_beta 90.00
_cell_angle_gamma 90.00
_symmetry_space_group_name_H-M 'P 1'
_symmetry_Int_Tables_number 1
loop_
_symmetry_equiv_pos_as_xyz
'x,y,z'
loop_
_atom_site_label
_atom_site_type_symbol
_atom_site_fract_x
_atom_site_fract_y
_atom_site_fract_z
Na1 Na 0.500 0.500 0.500
Br1 Br 0.500 0.000 0.000
Y1 Y 0.000 0.000 0.000
Se1 Se 0.000 0.500 0.000
Br2 Br 0.000 0.000 0.500
```



## Ba2NiSb4Pd3 (PBE)

Data for crystalline Ba2NiSb4Pd3 at its relaxed geometry.

* symmetry: P-4m2
* E_tot: -4.88 eV per atom
* D(E_F): 6.7 states/eV per cell

Structure (CIF):
```
data_Ba2NiSb4Pd3
_chemical_formula_sum 'Ba2 Ni1 Sb4 Pd3'
_cell_length_a 4.759
_cell_length_b 4.759
_cell_length_c 10.847
_cell_angle_alpha 90.00
_cell_angle_beta 90.00
_cell_angle_gamma 90.00
_symmetry_space_group_name_H-M 'P 1'
_symmetry_Int_Tables_number 1
loop_
_symmetry_equiv_pos_as_xyz
'x,y,z'
loop_
_atom_site_label
_atom_site_type_symbol
_atom_site_fract_x
_atom_site_fract_y
_atom_site_fract_z
Ba1 Ba 0.000 0.500 0.742
Sb1 Sb 0.500 0.500 0.000
Pd1 Pd 0.500 0.000 0.872
Pd2 Pd 0.000 0.000 0.500
Sb2 Sb 0.000 0.500 0.383
Ba2 Ba 0.500 0.000 0.258
Sb3 Sb 0.000 0.000 0.000
Pd3 Pd 0.000 0.500 0.128
Sb4 Sb 0.500 0.000 0.617
Ni1 Ni 0.500 0.500 0.500
```



## Tl2RuN (PBE)

Data for crystalline Tl2RuN at its relaxed geometry.

* symmetry: I-42d
* energy above the lowest structure with this stoichiometry: 0.000 eV per atom
* E_tot: -4.38 eV per atom
* D(E_F): 6.0 states/eV per cell

Structure (CIF):
```
data_Tl2RuN
_chemical_formula_sum 'Tl4 Ru2 N2'
_cell_length_a 6.926
_cell_length_b 6.926
_cell_length_c 5.758
_cell_angle_alpha 53.03
_cell_angle_beta 53.03
_cell_angle_gamma 90.00
_symmetry_space_group_name_H-M 'P 1'
_symmetry_Int_Tables_number 1
loop_
_symmetry_equiv_pos_as_xyz
'x,y,z'
loop_
_atom_site_label
_atom_site_type_symbol
_atom_site_fract_x
_atom_site_fract_y
_atom_site_fract_z
Ru1 Ru 0.000 0.000 0.000
N1 N 0.500 0.500 0.000
N2 N 0.250 0.750 0.500
Tl1 Tl 0.573 0.125 0.250
Ru2 Ru 0.750 0.250 0.500
Tl2 Tl 0.177 0.625 0.250
Tl3 Tl 0.875 0.823 0.750
Tl4 Tl 0.375 0.427 0.750
```



## Sc4GaGeO (PBE)

Data for crystalline Sc4GaGeO at its relaxed geometry.

* symmetry: Cmcm
* E_tot: -6.72 eV per atom
* D(E_F): 11.8 states/eV per cell

Structure (CIF):
```
data_Sc4GaGeO
_chemical_formula_sum 'Sc8 Ga2 Ge2 O2'
_cell_length_a 5.948
_cell_length_b 5.945
_cell_length_c 7.926
_cell_angle_alpha 90.00
_cell_angle_beta 112.04
_cell_angle_gamma 90.00
_symmetry_space_group_name_H-M 'P 1'
_symmetry_Int_Tables_number 1
loop_
_symmetry_equiv_pos_as_xyz
'x,y,z'
loop_
_atom_site_label
_atom_site_type_symbol
_atom_site_fract_x
_atom_site_fract_y
_atom_site_fract_z
Sc1 Sc 0.580 0.250 0.160
Sc2 Sc 0.500 0.500 0.500
Sc3 Sc 0.000 0.500 0.500
O1 O 0.750 0.250 0.500
Sc4 Sc 0.080 0.750 0.160
O2 O 0.250 0.750 0.500
Ga1 Ga 0.611 0.750 0.223
Ge1 Ge 0.889 0.750 0.777
Sc5 Sc 0.920 0.250 0.840
Ga2 Ga 0.389 0.250 0.777
Sc6 Sc 0.000 0.000 0.500
Sc7 Sc 0.500 0.000 0.500
Ge2 Ge 0.111 0.250 0.223
Sc8 Sc 0.420 0.750 0.840
```



## AcSmCu2 (PBE)

Data for crystalline AcSmCu2 at its relaxed geometry.

* symmetry: Pm
* energy above the lowest structure with this stoichiometry: 0.000 eV per atom
* E_tot: -4.41 eV per atom
* D(E_F): 3.3 states/eV per cell

Structure (CIF):
```
data_AcSmCu2
_chemical_formula_sum 'Ac1 Sm1 Cu2'
_cell_length_a 4.073
_cell_length_b 4.553
_cell_length_c 5.858
_cell_angle_alpha 90.00
_cell_angle_beta 110.57
_cell_angle_gamma 90.00
_symmetry_space_group_name_H-M 'P 1'
_symmetry_Int_Tables_number 1
loop_
_symmetry_equiv_pos_as_xyz
'x,y,z'
loop_
_atom_site_label
_atom_site_type_symbol
_atom_site_fract_x
_atom_site_fract_y
_atom_site_fract_z
Ac1 Ac 0.728 0.000 0.996
Sm1 Sm 0.446 0.500 0.431
Cu1 Cu 0.142 0.500 0.821
Cu2 Cu 0.015 0.000 0.570
```



## CePmEr2Sb4 (PBE)

Data for crystalline CePmEr2Sb4 at its relaxed geometry.

* symmetry: P2/m
* E_tot: -5.64 eV per atom
* D(E_F): 7.4 states/eV per cell

Structure (CIF):
```
data_CePmEr2Sb4
_chemical_formula_sum 'Ce1 Pm1 Er2 Sb4'
_cell_length_a 4.426
_cell_length_b 7.650
_cell_length_c 7.669
_cell_angle_alpha 70.57
_cell_angle_beta 90.00
_cell_angle_gamma 90.00
_symmetry_space_group_name_H-M 'P 1'
_symmetry_Int_Tables_number 1
loop_
_symmetry_equiv_pos_as_xyz
'x,y,z'
loop_
_atom_site_label
_atom_site_type_symbol
_atom_site_fract_x
_atom_site_fract_y
_atom_site_fract_z
Sb1 Sb 0.500 0.241 0.754
Pm1 Pm 0.000 0.500 0.500
Sb2 Sb 0.000 0.759 0.748
Er1 Er 0.500 0.000 0.500
Sb3 Sb 0.500 0.759 0.246
Ce1 Ce 0.500 0.500 0.000
Er2 Er 0.000 0.000 0.000
Sb4 Sb 0.000 0.241 0.252
```



E_tot of number 7 (AcSmCu2)? -4.41 eV per atom



Among the records above, which one has the lowest E_tot? Sc4GaGeO



The highest E_tot belongs to which entry? K2ErSnTe4